Mg6ScCd (GGA-PBE, relaxed); uncorrected energy = -2.1519 eV/atom; DOS(E_F) = 0.474 states/eV per atom; SG = Amm2; E_form = -0.401 eV/f.u.
1.0
4.8965 0.0000 0.0000
0.0000 6.2520 0.3947
0.0000 -2.4141 5.7806
Mg Sc Cd
6 1 1
Direct
0.5000 0.8877 0.6818 Mg
0.0000 0.1163 0.3235 Mg
0.0000 0.6204 0.3796 Mg
0.5000 0.3182 0.1123 Mg
0.0000 0.6765 0.8837 Mg
0.5000 0.8268 0.1732 Mg
0.5000 0.3763 0.6237 Sc
0.0000 0.1774 0.8226 Cd